# ZnCo2W SCAN PBEsol geometry
# DFT formation energy = 116 meV/atom
data_ZnCo2W
_cell_length_a 2.694
_cell_length_b 2.694
_cell_length_c 6.624
_cell_angle_alpha 90.00
_cell_angle_beta 90.00
_cell_angle_gamma 90.00
_space_group_name_H-M_alt 'P 4/m m m'
_space_group_IT_number 123
_space_group_name_Hall '-P 4 2'
loop_
_atom_site_label
_atom_site_fract_x
_atom_site_fract_y
_atom_site_fract_z
Zn1 0.000 0.000 0.000
Co1 0.500 0.500 0.242
W1 0.000 0.000 0.500



# CrHg2Ir SCAN PBEsol geometry
# energy above the most stable polymorph in this dataset = 26 meV/atom
# DFT formation energy = 355 meV/atom
data_CrHg2Ir
_cell_length_a 3.026
_cell_length_b 3.875
_cell_length_c 5.783
_cell_angle_alpha 90.00
_cell_angle_beta 90.00
_cell_angle_gamma 90.00
_space_group_name_H-M_alt 'P m m m'
_space_group_IT_number 47
loop_
_space_group_symop_operation_xyz
'x,y,z'
'-x,-y,-z'
'-x,-y,z'
'x,y,-z'
'x,-y,-z'
'-x,y,z'
'-x,y,-z'
'x,-y,z'
loop_
_atom_site_label
_atom_site_fract_x
_atom_site_fract_y
_atom_site_fract_z
Cr1 0.000 0.000 0.000
Hg1 0.500 0.500 0.251
Ir1 0.000 0.000 0.500



# K2SrSb SCAN PBEsol geometry
# energy relative to the elements, uncorrected = -0.2623 eV/atom
data_K2SrSb
_cell_length_a 6.813
_cell_length_b 7.160
_cell_length_c 13.272
_cell_angle_alpha 90.00
_cell_angle_beta 90.00
_cell_angle_gamma 90.00
_space_group_name_H-M_alt 'F m m m'
_space_group_IT_number 69
_space_group_name_Hall '-F 2 2'
loop_
_atom_site_label
_atom_site_fract_x
_atom_site_fract_y
_atom_site_fract_z
K1 0.000 0.250 0.250
Sr1 0.000 0.000 0.000
Sb1 0.000 0.000 0.500



# PrSi2Rh2 SCAN PBEsol geometry
# energy relative to the elements, uncorrected = -1.1911 eV/atom
data_PrSi2Rh2
_cell_length_a 4.066
_cell_length_b 4.066
_cell_length_c 10.129
_cell_angle_alpha 90.00
_cell_angle_beta 90.00
_cell_angle_gamma 90.00
_space_group_name_H-M_alt 'I 4/m m m'
_space_group_IT_number 139
_space_group_name_Hall '-I 4 2'
loop_
_atom_site_label
_atom_site_fract_x
_atom_site_fract_y
_atom_site_fract_z
Pr1 0.000 0.000 0.000
Si1 0.000 0.000 0.375
Rh1 0.000 0.500 0.250



# CoOsC2 SCAN PBEsol geometry
# DFT formation energy = 1443 meV/atom
data_CoOsC2
_cell_length_a 5.152
_cell_length_b 5.152
_cell_length_c 5.152
_cell_angle_alpha 90.00
_cell_angle_beta 90.00
_cell_angle_gamma 90.00
_space_group_name_H-M_alt 'F m -3 m'
_space_group_IT_number 225
_space_group_name_Hall '-F 4 2 3'
loop_
_atom_site_label
_atom_site_fract_x
_atom_site_fract_y
_atom_site_fract_z
Co1 0.000 0.000 0.000
Os1 0.000 0.000 0.500
C1 0.250 0.250 0.250



# HfP2IrS SCAN PBEsol geometry
# energy relative to the elements, uncorrected = 0.5019 eV/atom
data_HfP2IrS
_cell_length_a 4.470
_cell_length_b 4.470
_cell_length_c 4.746
_cell_angle_alpha 90.00
_cell_angle_beta 90.00
_cell_angle_gamma 90.00
_space_group_name_H-M_alt 'P 4/m m m'
_space_group_IT_number 123
_space_group_name_Hall '-P 4 2'
loop_
_atom_site_label
_atom_site_fract_x
_atom_site_fract_y
_atom_site_fract_z
Hf1 0.000 0.000 0.000
P1 0.000 0.500 0.500
Ir1 0.500 0.500 0.500
S1 0.500 0.500 0.000



no.,volume (A^3/atom),total magnetic moment (μB per atom)
1,12.0,0.00
2,17.0,1.05
3,40.5,0.11
4,16.7,0.00
5,8.5,0.00
6,19.0,0.00